GGA-PBE CdAg2Cl, optimized geometry; Fermi-level density of states = 1.9 states/eV/f.u.; relative energy among the computed polymorphs = 0.3038 eV/atom; energy relative to the elements, uncorrected = 0.564 eV/f.u.; ρ = 7.0 g/cm³; crystal system = cubic
1.0
0.000 3.499 3.499
3.499 0.000 3.499
3.499 3.499 0.000
Cd Ag Cl
1 2 1
Cartesian
0.000 0.000 0.000
3.499 3.499 3.499
5.248 5.248 5.248
1.749 1.749 1.749